Record 1
## Ca2W (SCAN)

Data for a PBEsol-optimized structure of Ca2W.

energy	-27.70	eV per atom
E above lowest polymorph	1.413	eV/atom
energy relative to the elements	1.97	eV per atom
symmetry	Fd-3m

Unit cell a=5.784 b=5.784 c=5.784 alpha=60.00 beta=60.00 gamma=60.00
Fractional coordinates of all 6 atoms:
1 Ca 0.125 0.125 0.125
2 Ca 0.125 0.125 0.625
3 Ca 0.125 0.625 0.125
4 Ca 0.625 0.125 0.125
5 W 0.500 0.500 0.500
6 W 0.750 0.750 0.750

---

Record 2
## CaW4 (SCAN)

Data for a PBEsol-optimized structure of CaW4.

energy	-54.60	eV per atom
energy relative to the elements	3.09	eV per atom
symmetry	Im-3m

Unit cell a=5.006 b=5.006 c=5.006 alpha=109.47 beta=109.47 gamma=109.47
Fractional coordinates of all 5 atoms:
1 Ca 0.000 0.000 0.000
2 W 0.000 0.000 0.500
3 W 0.000 0.500 0.000
4 W 0.500 0.000 0.000
5 W 0.500 0.500 0.500

---

Record 3
## CaW3 (SCAN)

Data for a PBEsol-optimized structure of CaW3.

energy	-53.70	eV per atom
E above lowest polymorph	0.144	eV/atom
energy relative to the elements	0.98	eV per atom
symmetry	Imm2

Unit cell a=2.639 b=5.267 c=6.002 alpha=116.03 beta=102.70 gamma=90.00
Fractional coordinates of all 4 atoms:
1 Ca 0.000 0.972 0.000
2 W 0.500 0.474 0.000
3 W 0.773 0.134 0.547
4 W 0.227 0.587 0.453

---

Record 4
## CaW3 (SCAN)

Data for a PBEsol-optimized structure of CaW3.

energy	-53.85	eV per atom
E above lowest polymorph	0.000	eV/atom
energy relative to the elements	0.83	eV per atom
symmetry	P4/mmm

Unit cell a=2.672 b=2.672 c=9.932 alpha=90.00 beta=90.00 gamma=90.00
Fractional coordinates of all 4 atoms:
1 Ca 0.000 0.000 0.000
2 W 0.500 0.500 0.729
3 W 0.000 0.000 0.500
4 W 0.500 0.500 0.271

---

Record 5
## CaW3 (SCAN)

Data for a PBEsol-optimized structure of CaW3.

energy	-53.68	eV per atom
E above lowest polymorph	0.169	eV/atom
energy relative to the elements	1.00	eV per atom
symmetry	Pmmm

Unit cell a=2.643 b=4.704 c=5.644 alpha=90.00 beta=90.00 gamma=90.00
Fractional coordinates of all 4 atoms:
1 Ca 0.000 0.000 0.000
2 W 0.500 0.500 0.735
3 W 0.000 0.000 0.500
4 W 0.500 0.500 0.265

---

Record 6
## Ca2W (SCAN)

Data for a PBEsol-optimized structure of Ca2W.

energy	-28.39	eV per atom
E above lowest polymorph	0.720	eV/atom
energy relative to the elements	1.28	eV per atom
symmetry	Pnnm

Unit cell a=2.913 b=7.555 c=7.694 alpha=90.00 beta=90.00 gamma=90.00
Last column: magnetic moment on the atom in μB.
Fractional coordinates of all 6 atoms:
1 Ca 0.000 0.209 0.685  0.02
2 Ca 0.000 0.791 0.315  0.02
3 Ca 0.500 0.709 0.815  0.02
4 Ca 0.500 0.291 0.185  0.02
5 W 0.000 0.000 0.000  0.60
6 W 0.500 0.500 0.500  0.60